# 1
## CaZnW (SCAN)

Data for CaZnW at its PBEsol-relaxed geometry.

Cell: 2.767 2.767 7.257 Å, 100.97 100.97 90.10°
Atoms (fractional coordinates):
1 Zn 0.323 0.323 0.646
2 W 0.679 0.679 0.359
3 Ca 0.998 0.998 0.995

Output
The calculated density is 8.98 Mg/m³. The calculation puts the formation energy at 0.53 eV per atom.

---

# 2
## SrAlOs2F (SCAN)

Data for SrAlOs2F at its PBEsol-relaxed geometry.

Cell: 4.909 4.909 5.982 Å, 90.00 90.00 90.00°
Site moments in Bohr magnetons follow the coordinates.
Atoms (fractional coordinates):
1 Al 0.000 0.000 0.500  -0.01
2 Os 0.000 0.500 0.000  1.56
3 Os 0.500 0.000 0.000  1.56
4 F 0.500 0.500 0.500  0.09
5 Sr 0.000 0.000 0.000  -0.04

Output
The calculated density is 5.92 Mg/m³. As for the uncorrected energy: -32.621 eV per atom.

---

# 3
## TaMoW2 (SCAN)

Data for TaMoW2 at its PBEsol-relaxed geometry.

Cell: 2.750 5.245 5.264 Å, 116.87 99.97 100.19°
Atoms (fractional coordinates):
1 W 0.000 0.000 0.500
2 W 0.500 0.500 0.500
3 Mo 0.000 0.500 0.000
4 Ta 0.500 0.000 0.000

Output
The calculated density is 16.76 Mg/m³. The calculation puts the formation energy at -0.10 eV per atom.